A geometry-optimized SrHfCuRh2 structure. Source: Alexandria, functional GGA-PBEsol.

Lattice parameters (Å, degrees): 4.6766 4.6766 4.5977 90.00 90.00 90.00
Sites, in units of the cell vectors:
Sr 0.0000 0.0000 0.0000
Hf 0.5000 0.5000 0.0000
Cu 0.0000 0.0000 0.5000
Rh 0.0000 0.5000 0.5000
Rh 0.5000 0.0000 0.5000

Values from the calculation:
The symmetry is P4/mmm, No. 123. For the total DFT energy (no corrections), the calculation gives -28.9 eV for the cell shown.

A geometry-optimized SbIrCl structure. Source: Alexandria, functional GGA-PBEsol.

Lattice parameters (Å, degrees): 4.4043 4.4043 4.4043 60.00 60.00 60.00
Sites, in units of the cell vectors:
Sb 0.0000 0.0000 0.0000
Ir 0.5000 0.5000 0.5000
Cl 0.7500 0.7500 0.7500

Values from the calculation:
The symmetry is F-43m, No. 216. The formation energy without anion corrections is 1.2447 eV/atom.

A geometry-optimized ZrMo3 structure. Source: Alexandria, functional GGA-PBEsol.

Lattice parameters (Å, degrees): 5.2620 5.2620 5.2620 116.88 116.88 116.88
Sites, in units of the cell vectors:
Zr 0.0000 0.0000 0.0000
Mo 0.0000 0.5000 0.5000
Mo 0.5000 0.0000 0.5000
Mo 0.5000 0.5000 0.0000

Values from the calculation:
The symmetry is R-3m, No. 166. For the total DFT energy (no corrections), the calculation gives -44.2 eV for the cell shown.

Listing total magnetic moment for the structures above in their given order: 0.00, 0.00, 0.00 μB/f.u..